A plane-wave DFT calculation with GGA+U was carried out for a relaxed KMnHF2 crystal.

Output
Calculated volume (Å³ per cell): 73.1
Total DFT energy (no corrections) (eV per atom): -5.00

```
data_KMnHF2
_chemical_formula_sum 'K1 Mn1 H1 F2'
_symmetry_space_group_name_H-M 'P 4/m m m'
_symmetry_Int_Tables_number 123
_symmetry_space_group_name_Hall '-P 4 2'
_cell_length_a 4.363
_cell_length_b 4.363
_cell_length_c 3.839
_cell_angle_alpha 90.00
_cell_angle_beta 90.00
_cell_angle_gamma 90.00
loop_
_atom_site_label
_atom_site_fract_x
_atom_site_fract_y
_atom_site_fract_z
_atom_site_occupancy
K1 0.000 0.000 0.000 1
Mn1 0.500 0.500 0.500 1
H1 0.500 0.500 0.000 1
F1 0.000 0.500 0.500 1
```